# AcTlH8Pt2

A geometry-optimized AcTlH8Pt2 structure (PBE-GGA, Alexandria via LeMat-Bulk).

abc: 5.0215 5.0215 20.1348
angles: 90.00 90.00 120.00
Space group R-3m (No. 166, hexagonal axes)
Asymmetric unit:
1 Ac 0.0000 0.0000 0.0000
2 Tl 0.0000 0.0000 0.5000
3 H 0.0000 0.0000 0.3378
4 H 0.0600 0.5300 0.4771
5 Pt 0.0000 0.0000 0.2549

Density of states at the Fermi level   6.929 states/eV per cell
E   -3.840 eV/atom